Density functional theory data (PBE) for an optimized crystal structure of HoNpBi2.

a b c (Å): 4.4743 4.4743 7.8133
angles (deg): 73.36 73.36 60.00
Site moments in Bohr magnetons follow the coordinates.
Fractional coordinates of all 4 atoms:
Np 0.5000 0.5000 0.5000  3.97
Bi 0.2512 0.2512 0.2464  -0.10
Bi 0.7488 0.7488 0.7536  -0.10
Ho 0.0000 0.0000 0.0000  -0.06

## Properties
For the formation enthalpy at 0 K, the calculation gives -0.354 eV per atom. The value obtained for the energy above the most stable polymorph in this dataset is 0 meV per atom. The volume is 127.8 Å³/f.u.

Density functional theory data (PBE) for an optimized crystal structure of LiTc2.

a b c (Å): 4.4701 4.4701 4.4701
angles (deg): 145.82 123.40 67.80
Fractional coordinates of all 3 atoms:
Li 0.0000 0.0000 0.0000
Tc 0.3364 0.3364 0.0000
Tc 0.6636 0.6636 0.0000

## Properties
For the formation enthalpy at 0 K, the calculation gives 0.202 eV per atom. The value obtained for the energy above the most stable polymorph in this dataset is 103 meV per atom. The volume is 41.3 Å³/f.u.

Density functional theory data (PBE) for an optimized crystal structure of Ta2Ti3Mo4.

a b c (Å): 4.9123 7.9682 7.9679
angles (deg): 76.79 92.45 87.53
Fractional coordinates of all 18 atoms:
Ta 0.4833 0.3633 0.1847
Ta 0.9827 0.8151 0.6368
Ta 0.5167 0.6367 0.8153
Ta 0.0173 0.1849 0.3632
Ti 0.9898 0.1707 0.0285
Ti 0.4896 0.9715 0.8293
Ti 0.0102 0.8293 0.9715
Ti 0.5104 0.0285 0.1707
Ti 0.7500 0.4992 0.4992
Ti 0.2500 0.5008 0.5008
Mo 0.5003 0.2970 0.8348
Mo 0.0004 0.1651 0.7029
Mo 0.4997 0.7030 0.1652
Mo 0.9996 0.8349 0.2971
Mo 0.9777 0.5259 0.1553
Mo 0.4771 0.8447 0.4743
Mo 0.0223 0.4741 0.8447
Mo 0.5229 0.1553 0.5257

## Properties
For the formation enthalpy at 0 K, the calculation gives 0.076 eV per atom. The volume is 151.5 Å³/f.u.

Density functional theory data (PBE) for an optimized crystal structure of Th4Zn3Pd.

a b c (Å): 3.7253 4.4398 11.9252
angles (deg): 90.00 90.00 90.00
Fractional coordinates of all 8 atoms:
Zn 0.0000 0.5000 0.5635
Zn 0.0000 0.0000 0.4358
Zn 0.5000 0.0000 0.9344
Pd 0.5000 0.5000 0.0673
Th 0.5000 0.5000 0.3420
Th 0.0000 0.5000 0.8466
Th 0.0000 0.0000 0.1513
Th 0.5000 0.0000 0.6591

## Properties
For the formation enthalpy at 0 K, the calculation gives -0.305 eV per atom. The volume is 197.2 Å³/f.u.

Density functional theory data (PBE) for an optimized crystal structure of Mg2TaSb.

a b c (Å): 3.6480 3.6480 6.1724
angles (deg): 90.00 90.00 90.00
Fractional coordinates of all 4 atoms:
Mg 0.0000 0.0000 0.9940
Mg 0.5000 0.5000 0.2449
Sb 0.0000 0.0000 0.5211
Ta 0.5000 0.5000 0.7400

## Properties
The volume is 82.1 Å³/f.u. The value obtained for the formation energy without anion corrections is 45 meV per atom.

Density functional theory data (PBE) for an optimized crystal structure of Hf2Sc2Ag.

a b c (Å): 7.1542 7.1542 4.6035
angles (deg): 90.00 90.00 90.00
Fractional coordinates of all 10 atoms:
Sc 0.1534 0.6534 0.5000
Sc 0.6534 0.8466 0.5000
Sc 0.8466 0.3466 0.5000
Sc 0.3466 0.1534 0.5000
Hf 0.3587 0.8587 0.0000
Hf 0.8587 0.6413 0.0000
Hf 0.6413 0.1413 0.0000
Hf 0.1413 0.3587 0.0000
Ag 0.0000 0.0000 0.0000
Ag 0.5000 0.5000 0.0000

## Properties
For the formation enthalpy at 0 K, the calculation gives 0.260 eV per atom. The value obtained for the energy above the most stable polymorph in this dataset is 345 meV per atom. The volume is 117.8 Å³/f.u.

Density functional theory data (PBE) for an optimized crystal structure of UTlSe4.

a b c (Å): 6.2780 6.2780 8.3362
angles (deg): 90.00 90.00 90.00
Site moments in Bohr magnetons follow the coordinates.
Fractional coordinates of all 12 atoms:
U 0.5000 0.5000 0.0000  2.10
U 0.0000 0.0000 0.0000  2.10
Tl 0.5000 0.5000 0.5000  0.00
Tl 0.0000 0.0000 0.5000  0.00
Se 0.6463 0.8537 0.2001  0.03
Se 0.1463 0.6463 0.2001  0.03
Se 0.8537 0.3537 0.2001  0.03
Se 0.6463 0.1463 0.7999  0.03
Se 0.3537 0.8537 0.7999  0.03
Se 0.3537 0.1463 0.2001  0.03
Se 0.8537 0.6463 0.7999  0.03
Se 0.1463 0.3537 0.7999  0.03

## Properties
The value obtained for the energy above the most stable polymorph in this dataset is 0 meV per atom. The volume is 164.3 Å³/f.u. The value obtained for the formation energy without anion corrections is -639 meV per atom.

Density functional theory data (PBE) for an optimized crystal structure of La6Te3PSe2.

a b c (Å): 7.6297 7.6297 7.8137
angles (deg): 99.36 99.36 119.99
Fractional coordinates of all 12 atoms:
La 0.9271 0.6049 0.7811
La 0.7520 0.7520 0.2212
La 0.0729 0.3951 0.2189
La 0.6049 0.9271 0.7811
La 0.2480 0.2480 0.7788
La 0.3951 0.0729 0.2189
Te 0.1699 0.8301 0.5000
Te 0.8301 0.1699 0.5000
Te 0.5000 0.5000 0.5000
P 0.0000 0.0000 0.0000
Se 0.3339 0.6661 0.0000
Se 0.6661 0.3339 0.0000

## Properties
The volume is 372.6 Å³/f.u. The value obtained for the formation energy without anion corrections is -1768 meV per atom.

Density functional theory data (PBE) for an optimized crystal structure of TcAg2Ir.

a b c (Å): 4.4960 4.4960 4.4960
angles (deg): 60.00 60.00 60.00
Fractional coordinates of all 4 atoms:
Ag 0.0000 0.0000 0.0000
Ag 0.2500 0.2500 0.2500
Ir 0.5000 0.5000 0.5000
Tc 0.7500 0.7500 0.7500

## Properties
For the formation enthalpy at 0 K, the calculation gives 0.568 eV per atom. The value obtained for the energy above the most stable polymorph in this dataset is 400 meV per atom. The volume is 64.3 Å³/f.u.

Density functional theory data (PBE) for an optimized crystal structure of ThTcSb.

a b c (Å): 4.5402 4.5402 7.8217
angles (deg): 106.87 106.87 90.00
Fractional coordinates of all 6 atoms:
Th 0.1382 0.1382 0.2764
Th 0.8618 0.8618 0.7236
Tc 0.0000 0.5000 0.0000
Tc 0.5000 0.0000 0.0000
Sb 0.6200 0.6200 0.2400
Sb 0.3800 0.3800 0.7600

## Properties
The value obtained for the energy above the most stable polymorph in this dataset is 0 meV per atom. The volume is 73.5 Å³/f.u. The value obtained for the formation energy without anion corrections is -556 meV per atom.

Density functional theory data (PBE) for an optimized crystal structure of Tb6Ho2ErSc3.

a b c (Å): 6.0411 6.0411 11.4257
angles (deg): 95.05 95.05 119.96
Fractional coordinates of all 12 atoms:
Tb 0.9138 0.5806 0.7417
Tb 0.7530 0.7530 0.2584
Tb 0.0862 0.4194 0.2583
Tb 0.5806 0.9138 0.7417
Tb 0.2470 0.2470 0.7416
Tb 0.4194 0.0862 0.2583
Ho 0.3333 0.6667 0.0000
Ho 0.6667 0.3333 0.0000
Er 0.0000 0.0000 0.0000
Sc 0.1667 0.8333 0.5000
Sc 0.8333 0.1667 0.5000
Sc 0.5000 0.5000 0.5000

## Properties
For the formation enthalpy at 0 K, the calculation gives 0.042 eV per atom. The volume is 355.6 Å³/f.u.

Density functional theory data (PBE) for an optimized crystal structure of Pm2LuBr.

a b c (Å): 3.5538 3.5538 9.5723
angles (deg): 90.00 90.00 90.00
Fractional coordinates of all 4 atoms:
Lu 0.5000 0.5000 0.5000
Br 0.5000 0.5000 0.0000
Pm 0.0000 0.0000 0.7638
Pm 0.0000 0.0000 0.2362

## Properties
The volume is 120.9 Å³/f.u. The value obtained for the formation energy without anion corrections is -460 meV per atom.

Density functional theory data (PBE) for an optimized crystal structure of KPrRuO6.

a b c (Å): 5.7791 5.7792 5.7048
angles (deg): 90.00 90.00 60.00
Fractional coordinates of all 9 atoms:
K 0.0000 0.0000 0.0000
Pr 0.6666 0.6667 0.4999
Ru 0.3333 0.3333 0.5000
O 0.0595 0.3465 0.3097
O 0.3465 0.0595 0.6903
O 0.5939 0.3466 0.6903
O 0.0595 0.5940 0.6903
O 0.3465 0.5940 0.3097
O 0.5940 0.0596 0.3097

## Properties
The volume is 165.0 Å³/f.u. The value obtained for the formation energy without anion corrections is -1448 meV per atom.

Density functional theory data (PBE) for an optimized crystal structure of Ce3PmPt.

a b c (Å): 5.3727 7.4448 6.7511
angles (deg): 83.81 90.00 90.00
Fractional coordinates of all 10 atoms:
Ce 0.4756 0.2045 0.3236
Ce 0.4756 0.8815 0.8954
Ce 0.9756 0.5001 0.4345
Ce 0.9756 0.1482 0.5779
Ce 0.9756 0.4713 0.0062
Ce 0.4756 0.8527 0.4670
Pm 0.4756 0.3923 0.7696
Pm 0.9756 0.9604 0.1319
Pt 0.9756 0.7748 0.7137
Pt 0.4756 0.5780 0.1878

## Properties
For the formation enthalpy at 0 K, the calculation gives -0.392 eV per atom. The volume is 134.2 Å³/f.u.

Density functional theory data (PBE) for an optimized crystal structure of Sr2Tl5Pb.

a b c (Å): 4.9306 7.1498 14.2401
angles (deg): 90.00 90.00 90.00
Fractional coordinates of all 16 atoms:
Sr 0.5000 0.2448 0.6234
Sr 0.5000 0.7552 0.3766
Sr 0.5000 0.2552 0.1234
Sr 0.5000 0.7448 0.8766
Tl 0.0000 0.0000 0.0000
Tl 0.0000 0.5000 0.5000
Tl 0.0000 0.4843 0.7552
Tl 0.0000 0.5157 0.2448
Tl 0.0000 0.0157 0.2552
Tl 0.0000 0.9843 0.7448
Tl 0.5000 0.2400 0.8730
Tl 0.5000 0.7600 0.1270
Tl 0.5000 0.2600 0.3730
Tl 0.5000 0.7400 0.6270
Pb 0.0000 0.0000 0.5000
Pb 0.0000 0.5000 0.0000

## Properties
For the formation enthalpy at 0 K, the calculation gives -0.267 eV per atom. The volume is 251.0 Å³/f.u.

Density functional theory data (PBE) for an optimized crystal structure of BC3.

a b c (Å): 6.0339 6.0339 5.1427
angles (deg): 102.38 102.38 23.99
Fractional coordinates of all 12 atoms:
B 0.9194 0.9194 0.2057
B 0.2532 0.2532 0.3763
B 0.9181 0.9181 0.7124
C 0.0101 0.0101 0.0023
C 0.3254 0.3254 0.1532
C 0.0073 0.0073 0.5064
C 0.6567 0.6567 0.3293
C 0.5843 0.5843 0.5437
C 0.3249 0.3249 0.6723
C 0.2481 0.2481 0.8743
C 0.6669 0.6669 0.8329
C 0.5857 0.5857 0.0411

## Properties
For the formation enthalpy at 0 K, the calculation gives 0.294 eV per atom. The value obtained for the energy above the most stable polymorph in this dataset is 53 meV per atom. The volume is 24.8 Å³/f.u.

Density functional theory data (PBE) for an optimized crystal structure of La2GaRhC.

a b c (Å): 5.3614 5.3614 3.9169
angles (deg): 90.00 90.00 90.00
Fractional coordinates of all 5 atoms:
C 0.0000 0.0000 0.0000
Rh 0.0000 0.0000 0.5000
Ga 0.5000 0.5000 0.5000
La 0.0000 0.5000 0.0000
La 0.5000 0.0000 0.0000

## Properties
For the formation enthalpy at 0 K, the calculation gives -0.413 eV per atom. The volume is 112.6 Å³/f.u.

Density functional theory data (PBE) for an optimized crystal structure of LaYMn2.

a b c (Å): 9.4924 9.4924 9.4924
angles (deg): 21.10 21.10 21.10
Site moments in Bohr magnetons follow the coordinates.
Fractional coordinates of all 4 atoms:
La 0.2500 0.2500 0.2500  -0.27
Mn 0.0013 0.0013 0.0013  3.49
Mn 0.4987 0.4987 0.4987  3.49
Y 0.7500 0.7500 0.7500  -0.30

## Properties
For the formation enthalpy at 0 K, the calculation gives 0.513 eV per atom. The value obtained for the energy above the most stable polymorph in this dataset is 404 meV per atom. The volume is 97.1 Å³/f.u.

Density functional theory data (PBE) for an optimized crystal structure of K2I2Br5.

a b c (Å): 7.8626 8.7470 12.3369
angles (deg): 110.76 108.58 90.00
Site moments in Bohr magnetons follow the coordinates.
Fractional coordinates of all 18 atoms:
K 0.0932 0.7103 0.2429  0.00
K 0.9068 0.4674 0.7571  0.00
K 0.6496 0.2103 0.2429  0.00
K 0.3504 0.9674 0.7571  0.00
I 0.0000 0.0894 0.0000  0.00
I 0.5000 0.5894 0.0000  0.00
I 0.2789 0.2606 0.5000  0.18
I 0.7211 0.7606 0.5000  0.18
Br 0.2299 0.8194 0.9597  0.00
Br 0.7701 0.8598 0.0403  0.00
Br 0.2297 0.3194 0.9597  0.00
Br 0.7703 0.3598 0.0403  0.00
Br 0.4168 0.9986 0.3261  0.11
Br 0.5832 0.6725 0.6739  0.11
Br 0.4093 0.4986 0.3261  0.11
Br 0.5907 0.1725 0.6739  0.11
Br 0.0163 0.4581 0.5000  0.01
Br 0.9837 0.9581 0.5000  0.01

## Properties
The volume is 372.9 Å³/f.u. The value obtained for the formation energy without anion corrections is -681 meV per atom.

Density functional theory data (PBE) for an optimized crystal structure of Zn2In2GePd5.

a b c (Å): 3.0965 10.5010 10.5010
angles (deg): 90.00 90.00 90.00
Fractional coordinates of all 20 atoms:
Zn 0.0000 0.1406 0.6406
Zn 0.0000 0.8594 0.3594
Zn 0.0000 0.6406 0.8594
Zn 0.0000 0.3594 0.1406
In 0.0000 0.6542 0.1542
In 0.0000 0.3458 0.8458
In 0.0000 0.1542 0.3458
In 0.0000 0.8458 0.6542
Ge 0.0000 0.0000 0.0000
Ge 0.0000 0.5000 0.5000
Pd 0.5000 0.1581 0.1232
Pd 0.5000 0.8419 0.8768
Pd 0.5000 0.1232 0.8419
Pd 0.5000 0.6581 0.3768
Pd 0.5000 0.8768 0.1581
Pd 0.5000 0.3419 0.6232
Pd 0.5000 0.6232 0.6581
Pd 0.5000 0.3768 0.3419
Pd 0.5000 0.5000 0.0000
Pd 0.5000 0.0000 0.5000

## Properties
For the formation enthalpy at 0 K, the calculation gives -0.396 eV per atom. The volume is 170.7 Å³/f.u.